No. 1
The following is a DFT calculation (GGA-PBE) of Ta3NbRu2 after structural relaxation.

a b c (Å): 4.536 13.705 3.207
angles (deg): 90.00 90.00 90.00
Fractional coordinates of all 12 atoms:
1 Ta 0.000 0.000 0.000
2 Ta 0.000 0.332 0.000
3 Ta 0.000 0.668 0.000
4 Ta 0.500 0.168 0.000
5 Ta 0.500 0.500 0.000
6 Ta 0.500 0.832 0.000
7 Nb 0.000 0.500 0.500
8 Nb 0.500 0.000 0.500
9 Ru 0.000 0.170 0.500
10 Ru 0.000 0.830 0.500
11 Ru 0.500 0.330 0.500
12 Ru 0.500 0.670 0.500

## Properties
Raw total energy = -132.24 eV for the cell shown
Calculated formation energy = -0.32 eV per atom
Symmetry = Cmmm (65)

No. 2
The following is a DFT calculation (GGA-PBE) of LiAsPt3 after structural relaxation.

a b c (Å): 4.691 4.691 4.691
angles (deg): 90.00 90.00 90.00
Fractional coordinates of all 5 atoms:
1 Li 0.000 0.000 0.000
2 As 0.500 0.500 0.500
3 Pt 0.000 0.500 0.500
4 Pt 0.500 0.000 0.500
5 Pt 0.500 0.500 0.000

## Properties
Raw total energy = -23.92 eV for the cell shown
Calculated formation energy = 0.15 eV per atom
Symmetry = Pm-3m (221)

No. 3
The following is a DFT calculation (GGA-PBE) of ReTc2HRu after structural relaxation.

a b c (Å): 3.928 3.928 3.886
angles (deg): 90.00 90.00 90.00
Fractional coordinates of all 5 atoms:
1 Re 0.000 0.000 0.000
2 Tc 0.000 0.500 0.500
3 Tc 0.500 0.000 0.500
4 H 0.500 0.500 0.500
5 Ru 0.500 0.500 0.000

## Properties
Raw total energy = -45.60 eV for the cell shown
Symmetry = P4/mmm (123)

No. 4
The following is a DFT calculation (GGA-PBE) of Ac2HfRhO6 after structural relaxation.

a b c (Å): 5.706 8.616 5.886
angles (deg): 90.00 90.00 90.00
Fractional coordinates of all 20 atoms:
1 Ac 0.250 0.010 0.227
2 Ac 0.250 0.490 0.227
3 Ac 0.750 0.510 0.773
4 Ac 0.750 0.990 0.773
5 Hf 0.250 0.250 0.757
6 Hf 0.750 0.750 0.243
7 Rh 0.250 0.750 0.732
8 Rh 0.750 0.250 0.268
9 O 0.001 0.750 0.481
10 O 0.007 0.250 0.021
11 O 0.250 0.014 0.802
12 O 0.250 0.486 0.802
13 O 0.493 0.250 0.021
14 O 0.499 0.750 0.481
15 O 0.501 0.250 0.519
16 O 0.507 0.750 0.979
17 O 0.750 0.514 0.198
18 O 0.750 0.986 0.198
19 O 0.993 0.750 0.979
20 O 0.999 0.250 0.519

## Properties
Raw total energy = -163.97 eV for the cell shown
Symmetry = Pmmn (59)
Energy relative to the elements, uncorrected = -2.671 eV per atom

No. 5
The following is a DFT calculation (GGA-PBE) of NaCePO5 after structural relaxation.

a b c (Å): 5.869 5.869 7.867
angles (deg): 105.02 105.02 101.85
Fractional coordinates of all 16 atoms:
1 Na 0.163 0.837 0.750
2 Na 0.837 0.163 0.250
3 Ce 0.500 0.500 0.000
4 Ce 0.500 0.500 0.500
5 P 0.168 0.832 0.250
6 P 0.832 0.168 0.750
7 O 0.102 0.231 0.883
8 O 0.186 0.654 0.366
9 O 0.231 0.102 0.383
10 O 0.346 0.814 0.134
11 O 0.415 0.585 0.750
12 O 0.585 0.415 0.250
13 O 0.654 0.186 0.866
14 O 0.769 0.898 0.617
15 O 0.814 0.346 0.634
16 O 0.898 0.769 0.117

## Properties
Raw total energy = -118.02 eV for the cell shown
Symmetry = C2/c (15)
Energy relative to the elements, uncorrected = -2.695 eV per atom

No. 6
The following is a DFT calculation (GGA-PBE) of YNiHg after structural relaxation.

a b c (Å): 3.597 3.597 9.373
angles (deg): 90.00 90.00 90.00
Fractional coordinates of all 6 atoms:
1 Y 0.000 0.000 0.000
2 Y 0.500 0.500 0.500
3 Ni 0.000 0.000 0.654
4 Ni 0.500 0.500 0.154
5 Hg 0.000 0.000 0.313
6 Hg 0.500 0.500 0.813

## Properties
Raw total energy = -26.89 eV for the cell shown
Calculated formation energy = -0.30 eV per atom
Symmetry = I4mm (107)

No. 7
The following is a DFT calculation (GGA-PBE) of BeTlPCl2 after structural relaxation.

a b c (Å): 4.409 4.409 5.143
angles (deg): 90.00 90.00 90.00
Fractional coordinates of all 5 atoms:
1 Be 0.000 0.000 0.000
2 Tl 0.500 0.500 0.500
3 P 0.000 0.000 0.500
4 Cl 0.000 0.500 0.000
5 Cl 0.500 0.000 0.000

## Properties
Raw total energy = -16.13 eV for the cell shown
Symmetry = P4/mmm (123)
Energy relative to the elements, uncorrected = -0.187 eV per atom

No. 8
The following is a DFT calculation (GGA-PBE) of HRhO2 after structural relaxation.

a b c (Å): 3.955 3.955 9.615
angles (deg): 90.00 90.00 90.00
Fractional coordinates of all 16 atoms:
1 H 0.000 0.250 0.375
2 H 0.000 0.750 0.625
3 H 0.500 0.250 0.125
4 H 0.500 0.750 0.875
5 Rh 0.000 0.250 0.875
6 Rh 0.000 0.750 0.125
7 Rh 0.500 0.250 0.625
8 Rh 0.500 0.750 0.375
9 O 0.000 0.250 0.090
10 O 0.000 0.250 0.660
11 O 0.000 0.750 0.340
12 O 0.000 0.750 0.910
13 O 0.500 0.250 0.410
14 O 0.500 0.250 0.840
15 O 0.500 0.750 0.160
16 O 0.500 0.750 0.590

## Properties
Raw total energy = -82.75 eV for the cell shown
Symmetry = I4_1/amd (141)

Repeat the eighth record exactly.
The following is a DFT calculation (GGA-PBE) of HRhO2 after structural relaxation.

a b c (Å): 3.955 3.955 9.615
angles (deg): 90.00 90.00 90.00
Fractional coordinates of all 16 atoms:
1 H 0.000 0.250 0.375
2 H 0.000 0.750 0.625
3 H 0.500 0.250 0.125
4 H 0.500 0.750 0.875
5 Rh 0.000 0.250 0.875
6 Rh 0.000 0.750 0.125
7 Rh 0.500 0.250 0.625
8 Rh 0.500 0.750 0.375
9 O 0.000 0.250 0.090
10 O 0.000 0.250 0.660
11 O 0.000 0.750 0.340
12 O 0.000 0.750 0.910
13 O 0.500 0.250 0.410
14 O 0.500 0.250 0.840
15 O 0.500 0.750 0.160
16 O 0.500 0.750 0.590

## Properties
Raw total energy = -82.75 eV for the cell shown
Symmetry = I4_1/amd (141)

Which of these has the lowest raw total energy? Ac2HfRhO6